Entry from Alexandria: a geometry-optimized MgTeW2 structure (GGA-PBE).

Calculated values
The total energy comes out at -27.02 eV per formula unit. The value obtained for the raw formation energy is 0.91 eV per atom. The density comes out at 11.72 g/cm3. As for the density of states at the Fermi level: 0.95 states/eV per atom. As for the total magnetization: 0.00 μB per cell.

a = 5.222 Å, b = 5.222 Å, c = 3.005 Å
α = 90.00°, β = 90.00°, γ = 116.04°
Fractional positions:
Mg  0.500  0.000  0.500
Te  0.000  0.500  0.500
W  0.000  0.000  0.000
W  0.500  0.500  0.000